(1)
Computed, not measured: a relaxed structure of PmZnAu2 at the PBE-GGA level of DFT.

Summary:
V   21.51 A^3/atom
D(E_F)   2.074 states/eV per cell
Size of the total moment   0.00 μB/f.u.

POSCAR file:
```
PmZnAu2
1.0
-2.4388 -1.6324 2.6228
1.3405 -4.2548 -1.4017
3.4166 0.0248 3.1923
Pm Zn Au
1 1 2
Direct
0.5000 0.5000 0.5000
0.5000 0.0000 0.0000
0.0000 0.0000 0.5000
0.0000 0.5000 0.0000
```

---

(2)
Computed, not measured: a relaxed structure of PmZnAu2 at the PBE-GGA level of DFT.

Summary:
V   21.43 A^3/atom
D(E_F)   2.381 states/eV per cell
Size of the total moment   0.00 μB/f.u.

POSCAR file:
```
PmZnAu2
1.0
-3.4211 -1.9962 -2.4034
0.9100 -3.5999 -2.7710
-1.6110 -4.7589 1.7802
Pm Zn Au
1 1 2
Direct
0.0000 0.0000 0.0000
0.5000 0.5000 0.5000
0.7775 0.7775 0.6674
0.2225 0.2225 0.3326
```

---

(3)
Computed, not measured: a relaxed structure of PmZnAu2 at the PBE-GGA level of DFT.

Summary:
V   20.88 A^3/atom
D(E_F)   10.166 states/eV per cell
Size of the total moment   0.00 μB/f.u.

POSCAR file:
```
PmZnAu2
1.0
-4.4402 0.0519 -1.2905
1.7905 -2.5758 -6.2641
-1.1617 -9.5907 3.6116
Au Pm Zn
8 4 4
Direct
0.7500 0.7144 0.0427
0.7500 0.2144 0.4573
0.2500 0.7856 0.5427
0.2500 0.9538 0.1264
0.2500 0.4538 0.3736
0.7500 0.0462 0.8736
0.2500 0.2856 0.9573
0.7500 0.5462 0.6264
0.7500 0.7550 0.3396
0.2500 0.2450 0.6604
0.2500 0.7450 0.8396
0.7500 0.2550 0.1604
0.2500 0.5727 0.1338
0.2500 0.0727 0.3662
0.7500 0.4273 0.8662
0.7500 0.9273 0.6338
```

---

Energy comparison, zero being the most stable, in meV per atom: (1) 181; (2) 24; (3) 0.

---

(1)
Computed, not measured: a relaxed structure of PmZnAu2 at the PBE-GGA level of DFT.

Summary:
V   20.68 A^3/atom
D(E_F)   7.780 states/eV per cell
Size of the total moment   0.00 μB/f.u.

POSCAR file:
```
PmZnAu2
1.0
5.6689 0.0000 0.0000
0.0000 7.4351 0.0000
0.0000 0.0000 7.8493
Au Pm Zn
8 4 4
Direct
0.5951 0.0543 0.6852
0.9049 0.0543 0.1852
0.0951 0.9457 0.8148
0.5951 0.4457 0.6852
0.4049 0.5543 0.3148
0.4049 0.9457 0.3148
0.0951 0.5543 0.8148
0.9049 0.4457 0.1852
0.6415 0.7500 0.9564
0.1415 0.2500 0.5436
0.3585 0.2500 0.0436
0.8585 0.7500 0.4564
0.8647 0.2500 0.8884
0.1353 0.7500 0.1116
0.6353 0.2500 0.3884
0.3647 0.7500 0.6116
```

---

(2)
Computed, not measured: a relaxed structure of PmZnAu2 at the PBE-GGA level of DFT.

Summary:
V   20.73 A^3/atom
D(E_F)   2.475 states/eV per cell
Size of the total moment   0.00 μB/f.u.

POSCAR file:
```
PmZnAu2
1.0
3.4681 0.0000 0.0000
0.0000 3.4681 0.0000
0.0000 0.0000 6.8933
Au Pm Zn
2 1 1
Direct
0.0000 0.0000 0.7853
0.0000 0.0000 0.2147
0.5000 0.5000 0.5000
0.5000 0.5000 0.0000
```

---

Energy comparison, zero being the most stable, in meV per atom: (1) 0; (2) 131.